This record from the Alexandria database describes a relaxed structure of NaNp2P2N6. The functional is PBE.

Cell: 6.242 6.244 6.477 Å, 119.63 90.03 59.97°
Positions (direct):
N 0.075 0.850 0.611
N 0.007 0.395 0.152
N 0.598 0.396 0.152
N 0.993 0.605 0.848
N 0.925 0.150 0.389
N 0.402 0.604 0.848
Na 0.500 0.000 0.500
P 0.112 0.775 0.822
P 0.888 0.225 0.178
Np 0.186 0.629 0.196
Np 0.814 0.371 0.804

Computed properties:
The total energy is -0.6300 Ry per atom. As for the space group: C2/m (12). As for the formation energy (no corrections): -0.574 eV/atom. The density of states at the Fermi level comes out at 10.4 states/eV/f.u.